Below is a geometry-optimized YHoTm2 structure, with properties calculated at the PBE level.

a = 3.592 Å, b = 5.584 Å, c = 6.221 Å
α = 90.00°, β = 90.00°, γ = 90.00°
Sites, in units of the cell vectors:
Y 0.000 0.000 0.000
Ho 0.000 0.500 0.664
Tm 0.500 0.000 0.499
Tm 0.500 0.500 0.168

As for the formation energy: 0.003 eV per atom. The magnetization comes out at 0.0034 μB per atom. The offset from the most stable computed form comes out at 0.0 meV/atom. The density of states at the Fermi level comes out at 1.995 states/eV/atom.

---

Below is a geometry-optimized NdZnCu3Ni structure, with properties calculated at the PBE level.

a = 7.763 Å, b = 7.763 Å, c = 5.090 Å
α = 90.00°, β = 90.00°, γ = 140.37°
Sites, in units of the cell vectors:
Nd 0.190 0.810 0.750
Nd 0.810 0.190 0.250
Zn 0.388 0.612 0.750
Zn 0.612 0.388 0.250
Cu 0.233 0.233 0.000
Cu 0.233 0.233 0.500
Cu 0.379 0.621 0.250
Cu 0.621 0.379 0.750
Cu 0.767 0.767 0.000
Cu 0.767 0.767 0.500
Ni 0.125 0.875 0.250
Ni 0.875 0.125 0.750

As for the formation energy: -0.054 eV per atom. The magnetization comes out at 0.0000 μB per atom. The density of states at the Fermi level comes out at 0.457 states/eV/atom.

---

Below is a geometry-optimized Y2InCu2Pd5 structure, with properties calculated at the PBE level.

a = 9.519 Å, b = 9.519 Å, c = 3.902 Å
α = 90.00°, β = 90.00°, γ = 90.00°
Sites, in units of the cell vectors:
Y 0.174 0.326 0.000
Y 0.326 0.826 0.000
Y 0.674 0.174 0.000
Y 0.826 0.674 0.000
In 0.000 0.000 0.000
In 0.500 0.500 0.000
Cu 0.122 0.622 0.000
Cu 0.378 0.122 0.000
Cu 0.622 0.878 0.000
Cu 0.878 0.378 0.000
Pd 0.000 0.500 0.500
Pd 0.070 0.793 0.500
Pd 0.207 0.070 0.500
Pd 0.293 0.570 0.500
Pd 0.430 0.293 0.500
Pd 0.500 0.000 0.500
Pd 0.570 0.707 0.500
Pd 0.707 0.430 0.500
Pd 0.793 0.930 0.500
Pd 0.930 0.207 0.500

As for the formation energy: -0.671 eV per atom. The magnetization comes out at 0.0000 μB per atom. The density of states at the Fermi level comes out at 0.319 states/eV/atom.

---

Below is a geometry-optimized SmAg3Pd2 structure, with properties calculated at the PBE level.

a = 5.308 Å, b = 5.308 Å, c = 8.618 Å
α = 95.35°, β = 95.35°, γ = 103.74°
Sites, in units of the cell vectors:
Sm 0.144 0.856 0.750
Sm 0.856 0.144 0.250
Ag 0.194 0.383 0.961
Ag 0.383 0.194 0.461
Ag 0.456 0.544 0.250
Ag 0.544 0.456 0.750
Ag 0.617 0.806 0.539
Ag 0.806 0.617 0.039
Pd 0.037 0.692 0.379
Pd 0.308 0.963 0.121
Pd 0.692 0.037 0.879
Pd 0.963 0.308 0.621

As for the formation energy: -0.297 eV per atom. The magnetization comes out at 0.0000 μB per atom. The density of states at the Fermi level comes out at 0.499 states/eV/atom.

---

Below is a geometry-optimized Ba2NbS3O structure, with properties calculated at the PBE level.

a = 4.110 Å, b = 4.938 Å, c = 16.351 Å
α = 90.00°, β = 90.00°, γ = 90.00°
Sites, in units of the cell vectors:
Ba 0.000 0.000 0.146
Ba 0.000 0.000 0.854
Ba 0.500 0.500 0.354
Ba 0.500 0.500 0.646
Nb 0.000 0.000 0.500
Nb 0.500 0.500 0.000
S 0.000 0.000 0.341
S 0.000 0.000 0.659
S 0.000 0.500 0.500
S 0.500 0.000 0.000
S 0.500 0.500 0.159
S 0.500 0.500 0.841
O 0.000 0.500 0.000
O 0.500 0.000 0.500

The value obtained for the formation energy (no corrections) is -1.923 eV/atom. The magnetization comes out at 0.0001 μB per atom. The density of states at the Fermi level comes out at 0.304 states/eV/atom.

---

Below is a geometry-optimized ErTiTcAg structure, with properties calculated at the PBE level.

a = 6.658 Å, b = 6.658 Å, c = 6.658 Å
α = 90.00°, β = 90.00°, γ = 90.00°
Sites, in units of the cell vectors:
Er 0.000 0.000 0.000
Er 0.000 0.500 0.500
Er 0.500 0.000 0.500
Er 0.500 0.500 0.000
Ti 0.000 0.000 0.500
Ti 0.000 0.500 0.000
Ti 0.500 0.000 0.000
Ti 0.500 0.500 0.500
Tc 0.250 0.250 0.750
Tc 0.250 0.750 0.250
Tc 0.750 0.250 0.250
Tc 0.750 0.750 0.750
Ag 0.250 0.250 0.250
Ag 0.250 0.750 0.750
Ag 0.750 0.250 0.750
Ag 0.750 0.750 0.250

As for the formation energy: -0.081 eV per atom. The magnetization comes out at 0.0009 μB per atom. The density of states at the Fermi level comes out at 0.883 states/eV/atom.

---

Below is a geometry-optimized TlCoSb2 structure, with properties calculated at the PBE level.

a = 3.786 Å, b = 3.392 Å, c = 7.766 Å
α = 90.00°, β = 103.60°, γ = 90.00°
Sites, in units of the cell vectors:
Tl 0.000 0.000 0.000
Co 0.831 0.500 0.660
Sb 0.306 0.000 0.609
Sb 0.658 0.500 0.317

The value obtained for the formation energy (no corrections) is 0.227 eV/atom. The magnetization comes out at 0.0001 μB per atom. The offset from the most stable computed form comes out at 236.2 meV/atom. The density of states at the Fermi level comes out at 0.926 states/eV/atom.

---

Below is a geometry-optimized MnPSe2 structure, with properties calculated at the PBE level.

a = 3.686 Å, b = 3.750 Å, c = 13.060 Å
α = 90.00°, β = 90.00°, γ = 90.00°
Sites, in units of the cell vectors:
Mn 0.000 0.000 0.000
Mn 0.500 0.500 0.500
P 0.000 0.000 0.500
P 0.500 0.500 0.000
Se 0.000 0.500 0.361
Se 0.000 0.500 0.639
Se 0.500 0.000 0.139
Se 0.500 0.000 0.861

The value obtained for the formation energy (no corrections) is -0.031 eV/atom. The magnetization comes out at 0.9868 μB per atom. The density of states at the Fermi level comes out at 0.406 states/eV/atom.